A geometry-optimized Zr2TaCl structure. Source: Alexandria via LeMat-Bulk, functional PBE.

Geometry as CIF:
```
data_Zr2TaCl
_cell_length_a 2.934
_cell_length_b 5.176
_cell_length_c 10.546
_cell_angle_alpha 90.00
_cell_angle_beta 90.00
_cell_angle_gamma 90.00
_symmetry_space_group_name_H-M 'I m m 2'
_symmetry_Int_Tables_number 44
_symmetry_space_group_name_Hall 'I 2 -2'
loop_
_atom_site_label
_atom_site_type_symbol
_atom_site_fract_x
_atom_site_fract_y
_atom_site_fract_z
Zr1 Zr 0.000 0.000 0.000
Zr2 Zr 0.000 0.500 0.207
Ta1 Ta 0.000 0.000 0.437
Cl1 Cl 0.000 0.500 0.729
```

Values from the calculation:
Energy above the lowest structure with this stoichiometry (kcal/mol of atoms): 11.81
Formation energy (no corrections) (eV per atom): 0.097



A geometry-optimized La8Pr3Cd structure. Source: Alexandria via LeMat-Bulk, functional PBE.

Geometry as CIF:
```
data_La8Pr3Cd
_cell_length_a 10.800
_cell_length_b 3.738
_cell_length_c 11.176
_cell_angle_alpha 90.00
_cell_angle_beta 110.20
_cell_angle_gamma 90.00
_symmetry_space_group_name_H-M 'P 1 m 1'
_symmetry_Int_Tables_number 6
_symmetry_space_group_name_Hall 'P -2y'
loop_
_atom_site_label
_atom_site_type_symbol
_atom_site_fract_x
_atom_site_fract_y
_atom_site_fract_z
La1 La 0.000 0.000 0.000
La2 La 0.001 0.000 0.316
La3 La 0.236 0.500 0.572
La4 La 0.466 0.000 0.153
La5 La 0.731 0.500 0.071
La6 La 0.738 0.500 0.397
La7 La 0.740 0.500 0.737
La8 La 0.982 0.000 0.648
Pr1 Pr 0.236 0.500 0.891
Pr2 Pr 0.478 0.000 0.474
Pr3 Pr 0.489 0.000 0.817
Cd1 Cd 0.238 0.500 0.240
```

Values from the calculation:
Energy of formation from the pure elements (meV per atom): -33



A geometry-optimized Pm3B2TeRh9 structure. Source: Alexandria via LeMat-Bulk, functional PBE.

Geometry as CIF:
```
data_Pm3B2TeRh9
_cell_length_a 5.9348
_cell_length_b 5.9348
_cell_length_c 8.6565
_cell_angle_alpha 90.00
_cell_angle_beta 90.00
_cell_angle_gamma 120.00
_symmetry_space_group_name_H-M 'P -3 m 1'
_symmetry_Int_Tables_number 164
_symmetry_space_group_name_Hall '-P 3 2"'
loop_
_atom_site_label
_atom_site_type_symbol
_atom_site_fract_x
_atom_site_fract_y
_atom_site_fract_z
Pm1 Pm 0.0000 0.0000 0.0000
Pm2 Pm 0.3333 0.6667 0.6741
B1 B 0.3333 0.6667 0.1446
Te1 Te 0.0000 0.0000 0.5000
Rh1 Rh 0.0000 0.5000 0.0000
Rh2 Rh 0.1649 0.3299 0.2742
```

Values from the calculation:
Formation energy (no corrections) (eV per atom): -0.590



A geometry-optimized Nd2YPu structure. Source: Alexandria via LeMat-Bulk, functional PBE.

Geometry as CIF:
```
data_Nd2YPu
_cell_length_a 3.576
_cell_length_b 3.576
_cell_length_c 10.213
_cell_angle_alpha 90.00
_cell_angle_beta 90.00
_cell_angle_gamma 90.00
_symmetry_space_group_name_H-M 'P 4/m m m'
_symmetry_Int_Tables_number 123
_symmetry_space_group_name_Hall '-P 4 2'
loop_
_atom_site_label
_atom_site_type_symbol
_atom_site_fract_x
_atom_site_fract_y
_atom_site_fract_z
Nd1 Nd 0.000 0.000 0.244
Y1 Y 0.500 0.500 0.500
Pu1 Pu 0.500 0.500 0.000
```

Values from the calculation:
Energy above the lowest structure with this stoichiometry (kcal/mol of atoms): 0.00
Energy of formation from the pure elements (meV per atom): 113



A geometry-optimized CdOsCl2 structure. Source: Alexandria via LeMat-Bulk, functional PBE.

Geometry as CIF:
```
data_CdOsCl2
_cell_length_a 8.148
_cell_length_b 8.148
_cell_length_c 5.468
_cell_angle_alpha 90.00
_cell_angle_beta 90.00
_cell_angle_gamma 90.00
_symmetry_space_group_name_H-M 'I -4 2 d'
_symmetry_Int_Tables_number 122
_symmetry_space_group_name_Hall 'I -4 2bw'
loop_
_atom_site_label
_atom_site_type_symbol
_atom_site_fract_x
_atom_site_fract_y
_atom_site_fract_z
Cd1 Cd 0.000 0.000 0.000
Os1 Os 0.000 0.000 0.500
Cl1 Cl 0.125 0.750 0.625
```

Values from the calculation:
Energy above the lowest structure with this stoichiometry (kcal/mol of atoms): 6.09
Formation energy (no corrections) (eV per atom): 0.309



A geometry-optimized TcRhSe structure. Source: Alexandria via LeMat-Bulk, functional PBE.

Geometry as CIF:
```
data_TcRhSe
_cell_length_a 12.475
_cell_length_b 2.992
_cell_length_c 5.182
_cell_angle_alpha 90.00
_cell_angle_beta 90.00
_cell_angle_gamma 90.00
_symmetry_space_group_name_H-M 'A m m 2'
_symmetry_Int_Tables_number 38
_symmetry_space_group_name_Hall 'A 2 -2'
loop_
_atom_site_label
_atom_site_type_symbol
_atom_site_fract_x
_atom_site_fract_y
_atom_site_fract_z
Tc1 Tc 0.170 0.000 0.000
Rh1 Rh 0.000 0.000 0.333
Rh2 Rh 0.500 0.000 0.332
Se1 Se 0.309 0.000 0.333
```

Values from the calculation:
Energy above the lowest structure with this stoichiometry (kcal/mol of atoms): 0.00
Formation energy (no corrections) (eV per atom): 0.043